Compound: Li2CrRuF
Source: Alexandria via LeMat-Bulk
Functional: GGA+U
Structure: optimized geometry

```
data_Li2CrRuF
_cell_length_a 5.173
_cell_length_b 5.173
_cell_length_c 4.549
_cell_angle_alpha 90.00
_cell_angle_beta 90.00
_cell_angle_gamma 90.00
_symmetry_space_group_name_H-M 'P 4/m m m'
_symmetry_Int_Tables_number 123
_symmetry_space_group_name_Hall '-P 4 2'
loop_
_atom_site_label
_atom_site_type_symbol
_atom_site_fract_x
_atom_site_fract_y
_atom_site_fract_z
Li1 Li 0.000 0.500 0.000
Cr1 Cr 0.000 0.000 0.000
Ru1 Ru 0.000 0.000 0.500
F1 F 0.500 0.500 0.500
```

V: 121.7 Å³/cell
Raw total energy: -0.1419 Ha/atom